Arrangement w

InCI2N: relaxed, GGA-PBE.

Lattice parameters (Å, degrees): 5.9819 5.9819 4.1593 90.00 90.00 90.00
Space group P4/mmm (No. 123)
Inequivalent atoms, fractional coordinates:
In 0.0000 0.0000 0.0000 [1 per cell]
C 0.5000 0.5000 0.5000 [1 per cell]
I 0.0000 0.5000 0.0000 [2 per cell]
N 0.0000 0.0000 0.5000 [1 per cell]

## Properties
magnetization = 3.00 Bohr magnetons per cell
volume = 148.8 Å³ per cell

=====

Arrangement x

InCI2N: relaxed, GGA-PBE.

Lattice parameters (Å, degrees): 7.3040 7.3040 2.7085 90.00 90.00 90.00
Space group P4/mmm (No. 123)
Inequivalent atoms, fractional coordinates:
In 0.0000 0.0000 0.0000 [1 per cell]
C 0.5000 0.5000 0.5000 [1 per cell]
I 0.0000 0.5000 0.5000 [2 per cell]
N 0.5000 0.5000 0.0000 [1 per cell]

## Properties
magnetization = 0.24 Bohr magnetons per cell
volume = 144.5 Å³ per cell

=====

Arrangement y

InCI2N: relaxed, GGA-PBE.

Lattice parameters (Å, degrees): 5.2959 5.2959 4.4562 90.00 90.00 90.00
Space group P4/mmm (No. 123)
Inequivalent atoms, fractional coordinates:
In 0.0000 0.0000 0.0000 [1 per cell]
C 0.5000 0.5000 0.0000 [1 per cell]
I 0.0000 0.5000 0.5000 [2 per cell]
N 0.0000 0.0000 0.5000 [1 per cell]

## Properties
magnetization = 1.81 Bohr magnetons per cell
volume = 125.0 Å³ per cell

=====

Energies, relative to the best one, in kJ/mol of atoms: arrangement w 104.7; arrangement x 0.0; arrangement y 102.1.

=====

Arrangement w

InCIN2: relaxed, GGA-PBE.

Lattice parameters (Å, degrees): 4.1223 4.1223 4.4879 90.00 90.00 90.00
Space group P4/mmm (No. 123)
Inequivalent atoms, fractional coordinates:
In 0.0000 0.0000 0.0000 [1 per cell]
C 0.5000 0.5000 0.5000 [1 per cell]
I 0.5000 0.5000 0.0000 [1 per cell]
N 0.0000 0.5000 0.5000 [2 per cell]

## Properties
magnetization = 1.93 Bohr magnetons per cell
volume = 76.3 Å³ per cell

=====

Arrangement x

InCIN2: relaxed, GGA-PBE.

Lattice parameters (Å, degrees): 4.3033 4.3033 6.1575 90.00 90.00 90.00
Space group P4/mmm (No. 123)
Inequivalent atoms, fractional coordinates:
In 0.0000 0.0000 0.0000 [1 per cell]
C 0.5000 0.5000 0.5000 [1 per cell]
I 0.0000 0.0000 0.5000 [1 per cell]
N 0.0000 0.5000 0.0000 [2 per cell]

## Properties
magnetization = 2.00 Bohr magnetons per cell
volume = 114.0 Å³ per cell

=====

Energies, relative to the best one, in kJ/mol of atoms: arrangement w 0.0; arrangement x 7.2.

=====

Arrangement w

InCIO2: relaxed, GGA-PBE.

Lattice parameters (Å, degrees): 4.0677 4.0677 4.3550 90.00 90.00 90.00
Space group P4/mmm (No. 123)
Inequivalent atoms, fractional coordinates:
In 0.0000 0.0000 0.0000 [1 per cell]
C 0.5000 0.5000 0.5000 [1 per cell]
I 0.5000 0.5000 0.0000 [1 per cell]
O 0.0000 0.5000 0.5000 [2 per cell]

## Properties
magnetization = 0.02 Bohr magnetons per cell
volume = 72.1 Å³ per cell

=====

Arrangement x

InCIO2: relaxed, GGA-PBE.

Lattice parameters (Å, degrees): 3.9610 3.9610 6.3533 90.00 90.00 90.00
Space group P4/mmm (No. 123)
Inequivalent atoms, fractional coordinates:
In 0.0000 0.0000 0.0000 [1 per cell]
C 0.5000 0.5000 0.5000 [1 per cell]
I 0.0000 0.0000 0.5000 [1 per cell]
O 0.0000 0.5000 0.0000 [2 per cell]

## Properties
magnetization = 0.98 Bohr magnetons per cell
volume = 99.7 Å³ per cell

=====

Energies, relative to the best one, in kJ/mol of atoms: arrangement w 10.5; arrangement x 0.0.

=====

Arrangement w

InSb2CI: relaxed, GGA-PBE.

Lattice parameters (Å, degrees): 4.8827 4.8827 5.1731 90.00 90.00 90.00
Space group P4/mmm (No. 123)
Inequivalent atoms, fractional coordinates:
In 0.0000 0.0000 0.0000 [1 per cell]
Sb 0.0000 0.5000 0.5000 [2 per cell]
C 0.5000 0.5000 0.5000 [1 per cell]
I 0.5000 0.5000 0.0000 [1 per cell]

## Properties
magnetization = 0.00 Bohr magnetons per cell
volume = 123.3 Å³ per cell

=====

Arrangement x

InSb2CI: relaxed, GGA-PBE.

Lattice parameters (Å, degrees): 5.7096 5.7096 5.8649 90.00 90.00 90.00
Space group P4/mmm (No. 123)
Inequivalent atoms, fractional coordinates:
In 0.0000 0.0000 0.0000 [1 per cell]
Sb 0.0000 0.5000 0.0000 [2 per cell]
C 0.5000 0.5000 0.5000 [1 per cell]
I 0.0000 0.0000 0.5000 [1 per cell]

## Properties
magnetization = 0.82 Bohr magnetons per cell
volume = 191.2 Å³ per cell

=====

Energies, relative to the best one, in kJ/mol of atoms: arrangement w 0.0; arrangement x 93.3.

=====

Arrangement w

IrCI2: relaxed, GGA-PBE.

Lattice parameters (Å, degrees): 6.7494 6.7494 6.7494 90.00 90.00 90.00
Space group Fm-3m (No. 225)
Inequivalent atoms, fractional coordinates:
Ir 0.0000 0.0000 0.0000 [4 per cell]
C 0.0000 0.0000 0.5000 [4 per cell]
I 0.2500 0.2500 0.2500 [8 per cell]

## Properties
magnetization = 0.01 Bohr magnetons per cell
volume = 307.5 Å³ per cell

=====

Arrangement x

IrCI2: relaxed, GGA-PBE.

Lattice parameters (Å, degrees): 5.7158 5.7158 12.1705 90.00 90.00 90.00
Space group I-42d (No. 122)
Inequivalent atoms, fractional coordinates:
Ir 0.0000 0.0000 0.0000 [4 per cell]
C 0.0000 0.0000 0.5000 [4 per cell]
I 0.2350 0.2500 0.6250 [8 per cell]

## Properties
magnetization = 0.00 Bohr magnetons per cell
volume = 397.6 Å³ per cell

=====

Energies, relative to the best one, in kJ/mol of atoms: arrangement w 41.3; arrangement x 0.0.

=====

Arrangement w

IrCI3: relaxed, GGA-PBE.

Lattice parameters (Å, degrees): 5.4210 5.4210 5.4210 90.00 90.00 90.00
Space group Pm-3m (No. 221)
Inequivalent atoms, fractional coordinates:
Ir 0.0000 0.0000 0.0000 [1 per cell]
C 0.5000 0.5000 0.5000 [1 per cell]
I 0.0000 0.0000 0.5000 [3 per cell]

## Properties
magnetization = 0.69 Bohr magnetons per cell
volume = 159.3 Å³ per cell

=====

Arrangement x

IrCI3: relaxed, GGA-PBE.

Lattice parameters (Å, degrees): 4.9123 4.9123 4.9123 90.00 90.00 90.00
Space group Pm-3m (No. 221)
Inequivalent atoms, fractional coordinates:
Ir 0.0000 0.0000 0.0000 [1 per cell]
C 0.5000 0.5000 0.5000 [1 per cell]
I 0.0000 0.5000 0.5000 [3 per cell]

## Properties
magnetization = 2.27 Bohr magnetons per cell
volume = 118.5 Å³ per cell

=====

Energies, relative to the best one, in kJ/mol of atoms: arrangement w 0.0; arrangement x 20.5.

=====

Arrangement w

Sb2IrCI: relaxed, GGA-PBE.

Lattice parameters (Å, degrees): 4.6096 4.6096 4.7669 90.00 90.00 90.00
Space group P4/mmm (No. 123)
Inequivalent atoms, fractional coordinates:
Sb 0.0000 0.5000 0.0000 [2 per cell]
Ir 0.0000 0.0000 0.5000 [1 per cell]
C 0.5000 0.5000 0.0000 [1 per cell]
I 0.5000 0.5000 0.5000 [1 per cell]

## Properties
magnetization = 0.00 Bohr magnetons per cell
volume = 101.3 Å³ per cell

=====

Arrangement x

Sb2IrCI: relaxed, GGA-PBE.

Lattice parameters (Å, degrees): 5.0943 5.0943 5.7255 90.00 90.00 90.00
Space group P4/mmm (No. 123)
Inequivalent atoms, fractional coordinates:
Sb 0.0000 0.5000 0.0000 [2 per cell]
Ir 0.0000 0.0000 0.0000 [1 per cell]
C 0.5000 0.5000 0.5000 [1 per cell]
I 0.0000 0.0000 0.5000 [1 per cell]

## Properties
magnetization = 1.61 Bohr magnetons per cell
volume = 148.6 Å³ per cell

=====

Energies, relative to the best one, in kJ/mol of atoms: arrangement w 0.0; arrangement x 31.5.

=====

Arrangement w

Te2IrCI: relaxed, GGA-PBE.

Lattice parameters (Å, degrees): 5.1808 5.1808 5.6483 90.00 90.00 90.00
Space group P4/mmm (No. 123)
Inequivalent atoms, fractional coordinates:
Te 0.0000 0.5000 0.0000 [2 per cell]
Ir 0.0000 0.0000 0.0000 [1 per cell]
C 0.5000 0.5000 0.5000 [1 per cell]
I 0.0000 0.0000 0.5000 [1 per cell]

## Properties
magnetization = 1.40 Bohr magnetons per cell
volume = 151.6 Å³ per cell

=====

Arrangement x

Te2IrCI: relaxed, GGA-PBE.

Lattice parameters (Å, degrees): 4.6747 4.6747 4.7503 90.00 90.00 90.00
Space group P4/mmm (No. 123)
Inequivalent atoms, fractional coordinates:
Te 0.0000 0.5000 0.0000 [2 per cell]
Ir 0.0000 0.0000 0.5000 [1 per cell]
C 0.5000 0.5000 0.0000 [1 per cell]
I 0.5000 0.5000 0.5000 [1 per cell]

## Properties
magnetization = 0.00 Bohr magnetons per cell
volume = 103.8 Å³ per cell

=====

Energies, relative to the best one, in kJ/mol of atoms: arrangement w 17.3; arrangement x 0.0.